[1]
The following is a PBE-GGA calculation of an optimized crystal structure of Ca2YRe, from Alexandria via LeMat-Bulk.

Results
Total magnetization in μB per atom: 0.0001
Calculated volume in A^3/atom: 29.612
Crystal system: trigonal
Energy of formation from the pure elements in eV per atom: 0.519
Offset from the most stable computed form in meV/atom: 133
Space group: No. 160

Structure (POSCAR):
```
Ca2YRe
1.0
1.7819 1.0288 10.7684
-1.7819 1.0288 10.7684
0.0000 -2.0576 10.7684
Ca Y Re
2 1 1
direct
0.0000 0.0000 0.0000
0.2280 0.2280 0.2280
0.4594 0.4594 0.4594
0.7333 0.7333 0.7333
```

[2]
The following is a PBE-GGA calculation of an optimized crystal structure of VSnPd2, from Alexandria via LeMat-Bulk.

Results
Total magnetization in μB per atom: 0.0942
Calculated volume in A^3/atom: 17.781
Crystal system: tetragonal
Energy of formation from the pure elements in eV per atom: 0.062
Space group: No. 122

Structure (POSCAR):
```
VSnPd2
1.0
-1.9723 1.9723 9.1416
1.9723 -1.9723 9.1416
1.9723 1.9723 -9.1416
V Sn Pd
2 2 4
direct
0.0000 0.0000 0.0000
0.7500 0.2500 0.5000
0.2500 0.7500 0.5000
0.5000 0.5000 0.0000
0.1162 0.6250 0.9912
0.3750 0.3662 0.4912
0.6338 0.1250 0.0088
0.8750 0.8838 0.5088
```